[1]
{
  "formula": "Ac2CoAs4Rh3",
  "functional": "PBE",
  "state": "optimized geometry",
  "density_kg_m3": 9572,
  "ef_kj_per_mol_atoms": -82,
  "e_tot_ev_per_atom": -6.45,
  "magmom_total_mub_per_fu": 1.5,
  "crystal_system": "tetragonal",
  "lattice_angstrom": [[4.4097, 0.0000, 0.0000], [0.0000, 4.4097, 0.0000], [0.0000, 0.0000, 10.0042]],
  "species": ["Ac", "Ac", "Co", "As", "As", "As", "As", "Rh", "Rh", "Rh"],
  "fractional_positions": [[0.0000, 0.5000, 0.2502], [0.5000, 0.0000, 0.7498], [0.0000, 0.0000, 0.5000], [0.0000, 0.0000, 0.0000], [0.0000, 0.5000, 0.6254], [0.5000, 0.0000, 0.3746], [0.5000, 0.5000, 0.0000], [0.0000, 0.5000, 0.8805], [0.5000, 0.0000, 0.1195], [0.5000, 0.5000, 0.5000]]
}

[2]
{
  "formula": "Ti3CoPb",
  "functional": "PBE",
  "state": "optimized geometry",
  "density_kg_m3": 7228,
  "ef_kj_per_mol_atoms": 4,
  "e_tot_ev_per_atom": -6.86,
  "magmom_total_mub_per_fu": 0.0,
  "e_above_lowest_polymorph_mev_per_atom": 155,
  "crystal_system": "cubic",
  "lattice_angstrom": [[4.5489, 0.0000, 0.0000], [0.0000, 4.5489, 0.0000], [0.0000, 0.0000, 4.5489]],
  "species": ["Ti", "Ti", "Ti", "Co", "Pb"],
  "fractional_positions": [[0.0000, 0.0000, 0.5000], [0.0000, 0.5000, 0.0000], [0.5000, 0.0000, 0.0000], [0.0000, 0.0000, 0.0000], [0.5000, 0.5000, 0.5000]]
}

[3]
{
  "formula": "Na2BiSbTe4",
  "functional": "PBE",
  "state": "optimized geometry",
  "density_kg_m3": 5572,
  "e_tot_ev_per_atom": -3.40,
  "magmom_total_mub_per_fu": 0.0,
  "crystal_system": "monoclinic",
  "lattice_angstrom": [[7.7402, 0.0000, 0.0000], [0.0000, 4.4696, 0.0000], [-2.5838, 0.0000, 7.6412]],
  "species": ["Na", "Na", "Bi", "Sb", "Te", "Te", "Te", "Te"],
  "fractional_positions": [[0.0000, 0.0000, 0.0000], [0.5000, 0.5000, 0.0000], [0.0000, 0.5000, 0.5000], [0.5000, 0.0000, 0.5000], [0.2504, 0.0000, 0.7351], [0.2612, 0.5000, 0.2679], [0.7388, 0.5000, 0.7321], [0.7496, 0.0000, 0.2649]]
}

[4]
{
  "formula": "La2InW",
  "functional": "PBE",
  "state": "optimized geometry",
  "density_kg_m3": 8327,
  "ef_kj_per_mol_atoms": 30,
  "e_tot_ev_per_atom": -6.08,
  "magmom_total_mub_per_fu": 0.0,
  "crystal_system": "orthorhombic",
  "lattice_angstrom": [[4.7103, 0.0000, 0.0000], [0.0000, 2.0737, 5.8843], [0.0000, -2.0737, 5.8843]],
  "species": ["La", "La", "In", "W"],
  "fractional_positions": [[0.0000, 0.0000, 0.0000], [0.5000, 0.2931, 0.2931], [0.0000, 0.7120, 0.7120], [0.5000, 0.5789, 0.5789]]
}

[5]
{
  "formula": "ScU2S6",
  "functional": "PBE",
  "state": "optimized geometry",
  "density_kg_m3": 5185,
  "e_tot_ev_per_atom": -7.22,
  "magmom_total_mub_per_fu": 3.0,
  "e_above_lowest_polymorph_mev_per_atom": 197,
  "crystal_system": "monoclinic",
  "lattice_angstrom": [[6.6577, -2.5675, 0.0000], [6.6577, 2.5675, 0.0000], [-5.1563, 0.0000, 6.6837]],
  "species": ["Sc", "U", "U", "S", "S", "S", "S", "S", "S"],
  "fractional_positions": [[0.0000, 0.0000, 0.0000], [0.1857, 0.1857, 0.6152], [0.8143, 0.8143, 0.3848], [0.0401, 0.0401, 0.7336], [0.2518, 0.2518, 0.3636], [0.3790, 0.3790, 0.9668], [0.6210, 0.6210, 0.0332], [0.7482, 0.7482, 0.6364], [0.9599, 0.9599, 0.2664]]
}

[6]
{
  "formula": "K3Pu3ReS8",
  "functional": "PBE",
  "state": "optimized geometry",
  "density_kg_m3": 5316,
  "e_tot_ev_per_atom": -7.36,
  "magmom_total_mub_per_fu": 2.7,
  "crystal_system": "monoclinic",
  "lattice_angstrom": [[6.8026, -3.9331, 0.0000], [6.8026, 3.9331, 0.0000], [-4.4869, 0.0000, 7.5416]],
  "species": ["K", "K", "K", "Pu", "Pu", "Pu", "Re", "S", "S", "S", "S", "S", "S", "S", "S"],
  "fractional_positions": [[0.0000, 0.0000, 0.0000], [0.0000, 0.5000, 0.0000], [0.5000, 0.0000, 0.0000], [0.0000, 0.5000, 0.5000], [0.5000, 0.0000, 0.5000], [0.5000, 0.5000, 0.5000], [0.0000, 0.0000, 0.5000], [0.2133, 0.7603, 0.6866], [0.2141, 0.2141, 0.6864], [0.2397, 0.7867, 0.3134], [0.2642, 0.2642, 0.2944], [0.7358, 0.7358, 0.7056], [0.7603, 0.2133, 0.6866], [0.7859, 0.7859, 0.3136], [0.7867, 0.2397, 0.3134]]
}

[7]
{
  "formula": "KTa2In",
  "functional": "PBE",
  "state": "optimized geometry",
  "density_kg_m3": 7884,
  "ef_kj_per_mol_atoms": 89,
  "e_tot_ev_per_atom": -5.96,
  "magmom_total_mub_per_fu": 0.0,
  "crystal_system": "orthorhombic",
  "lattice_angstrom": [[2.9629, 0.0000, 0.0000], [0.0000, 4.6358, 0.0000], [0.0000, 0.0000, 7.9097]],
  "species": ["K", "Ta", "Ta", "In"],
  "fractional_positions": [[0.0000, 0.0000, 0.0000], [0.5000, 0.5000, 0.3408], [0.5000, 0.5000, 0.6592], [0.0000, 0.0000, 0.5000]]
}

[8]
{
  "formula": "CaNd2AgN",
  "functional": "PBE",
  "state": "optimized geometry",
  "density_kg_m3": 6101,
  "e_tot_ev_per_atom": -5.11,
  "magmom_total_mub_per_fu": 0.0,
  "crystal_system": "tetragonal",
  "lattice_angstrom": [[5.0110, 0.0000, 0.0000], [0.0000, 5.0110, 0.0000], [0.0000, 0.0000, 4.8823]],
  "species": ["Ca", "Nd", "Nd", "Ag", "N"],
  "fractional_positions": [[0.0000, 0.0000, 0.0000], [0.0000, 0.5000, 0.5000], [0.5000, 0.0000, 0.5000], [0.5000, 0.5000, 0.0000], [0.0000, 0.0000, 0.5000]]
}

[9]
{
  "formula": "CeSc2Br",
  "functional": "PBE",
  "state": "optimized geometry",
  "density_kg_m3": 5212,
  "e_tot_ev_per_atom": -5.50,
  "magmom_total_mub_per_fu": 0.7,
  "crystal_system": "trigonal",
  "lattice_angstrom": [[1.7247, 0.9957, 9.5827], [-1.7247, 0.9957, 9.5827], [0.0000, -1.9915, 9.5827]],
  "species": ["Ce", "Sc", "Sc", "Br"],
  "fractional_positions": [[0.0000, 0.0000, 0.0000], [0.2424, 0.2424, 0.2424], [0.7576, 0.7576, 0.7576], [0.5000, 0.5000, 0.5000]]
}

[10]
{
  "formula": "CdRu2Se",
  "functional": "PBE",
  "state": "optimized geometry",
  "density_kg_m3": 10019,
  "e_tot_ev_per_atom": -5.46,
  "magmom_total_mub_per_fu": 0.3,
  "e_above_lowest_polymorph_mev_per_atom": 95,
  "crystal_system": "trigonal",
  "lattice_angstrom": [[1.5066, 0.8698, 8.2942], [-1.5066, 0.8698, 8.2942], [0.0000, -1.7397, 8.2942]],
  "species": ["Cd", "Ru", "Ru", "Se"],
  "fractional_positions": [[0.0000, 0.0000, 0.0000], [0.2393, 0.2393, 0.2393], [0.7607, 0.7607, 0.7607], [0.5000, 0.5000, 0.5000]]
}

[11]
{
  "formula": "Ag3IBrF",
  "functional": "PBE",
  "state": "optimized geometry",
  "density_kg_m3": 6125,
  "e_tot_ev_per_atom": -2.77,
  "magmom_total_mub_per_fu": 0.0,
  "crystal_system": "monoclinic",
  "lattice_angstrom": [[7.5739, -2.3436, 0.0000], [7.5739, 2.3436, 0.0000], [-3.8136, 0.0000, 8.3915]],
  "species": ["Ag", "Ag", "Ag", "Ag", "Ag", "Ag", "I", "I", "Br", "Br", "F", "F"],
  "fractional_positions": [[0.0541, 0.0541, 0.2440], [0.3199, 0.3199, 0.5652], [0.3403, 0.3403, 0.1344], [0.6597, 0.6597, 0.8656], [0.6801, 0.6801, 0.4348], [0.9459, 0.9459, 0.7560], [0.1445, 0.1445, 0.6000], [0.8555, 0.8555, 0.4000], [0.1428, 0.1428, 0.0389], [0.8572, 0.8572, 0.9611], [0.4898, 0.4898, 0.7447], [0.5102, 0.5102, 0.2553]]
}

[12]
{
  "formula": "PuUCo",
  "functional": "PBE",
  "state": "optimized geometry",
  "density_kg_m3": 18558,
  "ef_kj_per_mol_atoms": 3,
  "e_tot_ev_per_atom": -10.87,
  "magmom_total_mub_per_fu": 3.7,
  "e_above_lowest_polymorph_mev_per_atom": 34,
  "crystal_system": "hexagonal",
  "lattice_angstrom": [[4.5461, 0.0000, 0.0000], [-2.2730, 3.9370, 0.0000], [0.0000, 0.0000, 2.7044]],
  "species": ["Pu", "U", "Co"],
  "fractional_positions": [[0.0000, 0.0000, 0.0000], [0.6667, 0.3333, 0.0000], [0.3333, 0.6667, 0.5000]]
}

[13]
{
  "formula": "HgPt2Au5",
  "functional": "PBE",
  "state": "optimized geometry",
  "density_kg_m3": 18424,
  "ef_kj_per_mol_atoms": 2,
  "e_tot_ev_per_atom": -3.58,
  "magmom_total_mub_per_fu": 0.0,
  "crystal_system": "orthorhombic",
  "lattice_angstrom": [[5.8532, 0.0000, 0.0000], [0.0000, 11.6886, 0.0000], [0.0000, 0.0000, 4.1513]],
  "species": ["Hg", "Hg", "Pt", "Pt", "Pt", "Pt", "Au", "Au", "Au", "Au", "Au", "Au", "Au", "Au", "Au", "Au"],
  "fractional_positions": [[0.0000, 0.0000, 0.0000], [0.5000, 0.5000, 0.0000], [0.2438, 0.1243, 0.5000], [0.2562, 0.6243, 0.5000], [0.7438, 0.3757, 0.5000], [0.7562, 0.8757, 0.5000], [0.0000, 0.5000, 0.0000], [0.0100, 0.7487, 0.0000], [0.2401, 0.3724, 0.5000], [0.2599, 0.8724, 0.5000], [0.4900, 0.2487, 0.0000], [0.5000, 0.0000, 0.0000], [0.5100, 0.7513, 0.0000], [0.7401, 0.1276, 0.5000], [0.7599, 0.6276, 0.5000], [0.9900, 0.2513, 0.0000]]
}

[14]
{
  "formula": "LiIn2Rh",
  "functional": "PBE",
  "state": "optimized geometry",
  "density_kg_m3": 8142,
  "ef_kj_per_mol_atoms": -40,
  "e_tot_ev_per_atom": -4.10,
  "magmom_total_mub_per_fu": 0.0,
  "e_above_lowest_polymorph_mev_per_atom": 0,
  "crystal_system": "cubic",
  "lattice_angstrom": [[0.0000, 3.2592, 3.2592], [3.2592, 0.0000, 3.2592], [3.2592, 3.2592, 0.0000]],
  "species": ["Li", "In", "In", "Rh"],
  "fractional_positions": [[0.0000, 0.0000, 0.0000], [0.2500, 0.2500, 0.2500], [0.7500, 0.7500, 0.7500], [0.5000, 0.5000, 0.5000]]
}

[15]
{
  "formula": "CdCo2Ru",
  "functional": "PBE",
  "state": "optimized geometry",
  "density_kg_m3": 9817,
  "ef_kj_per_mol_atoms": 29,
  "e_tot_ev_per_atom": -5.80,
  "magmom_total_mub_per_fu": 2.8,
  "crystal_system": "orthorhombic",
  "lattice_angstrom": [[2.7181, 0.0000, 0.0000], [0.0000, 3.5852, 0.0000], [0.0000, 0.0000, 5.7515]],
  "species": ["Cd", "Co", "Co", "Ru"],
  "fractional_positions": [[0.0000, 0.0000, 0.0000], [0.5000, 0.5000, 0.2900], [0.5000, 0.5000, 0.7100], [0.0000, 0.0000, 0.5000]]
}

[16]
{
  "formula": "KHgW2",
  "functional": "PBE",
  "state": "optimized geometry",
  "density_kg_m3": 12091,
  "ef_kj_per_mol_atoms": 155,
  "e_tot_ev_per_atom": -5.22,
  "magmom_total_mub_per_fu": 0.0,
  "crystal_system": "tetragonal",
  "lattice_angstrom": [[3.9511, 0.0000, 0.0000], [0.0000, 3.9511, 0.0000], [0.0000, 0.0000, 5.3432]],
  "species": ["K", "Hg", "W", "W"],
  "fractional_positions": [[0.0000, 0.0000, 0.0000], [0.5000, 0.5000, 0.0000], [0.0000, 0.5000, 0.5000], [0.5000, 0.0000, 0.5000]]
}

[17]
{
  "formula": "H2S",
  "functional": "PBE",
  "state": "optimized geometry",
  "density_kg_m3": 1036,
  "e_tot_ev_per_atom": -3.77,
  "magmom_total_mub_per_fu": 0.0,
  "e_above_lowest_polymorph_mev_per_atom": 18,
  "crystal_system": "triclinic",
  "lattice_angstrom": [[4.1168, 0.0000, 0.0000], [-0.7901, 4.0429, 0.0000], [-1.8739, -1.8327, 3.2812]],
  "species": ["H", "H", "S"],
  "fractional_positions": [[0.0000, 0.0000, 0.0000], [0.3723, 0.3720, 0.9983], [0.4000, 0.1789, 0.2060]]
}

[18]
{
  "formula": "AgTe2Os",
  "functional": "PBE",
  "state": "optimized geometry",
  "density_kg_m3": 10162,
  "e_tot_ev_per_atom": -4.42,
  "magmom_total_mub_per_fu": 0.0,
  "e_above_lowest_polymorph_mev_per_atom": 454,
  "crystal_system": "orthorhombic",
  "lattice_angstrom": [[1.5727, -2.6906, 0.0000], [1.5727, 2.6906, 0.0000], [0.0000, 0.0000, 10.6832]],
  "species": ["Ag", "Te", "Te", "Os"],
  "fractional_positions": [[0.0000, 0.0000, 0.0000], [0.5000, 0.5000, 0.2924], [0.5000, 0.5000, 0.7076], [0.0000, 0.0000, 0.5000]]
}

[19]
{
  "formula": "HoTm3Hg2",
  "functional": "PBE",
  "state": "optimized geometry",
  "density_kg_m3": 11002,
  "ef_kj_per_mol_atoms": -29,
  "e_tot_ev_per_atom": -3.40,
  "magmom_total_mub_per_fu": 0.0,
  "e_above_lowest_polymorph_mev_per_atom": 64,
  "crystal_system": "tetragonal",
  "lattice_angstrom": [[3.6375, 0.0000, 0.0000], [0.0000, 3.6375, 0.0000], [0.0000, 0.0000, 12.2387]],
  "species": ["Ho", "Tm", "Tm", "Tm", "Hg", "Hg"],
  "fractional_positions": [[0.0000, 0.0000, 0.0000], [0.5000, 0.5000, 0.1966], [0.5000, 0.5000, 0.5000], [0.5000, 0.5000, 0.8034], [0.0000, 0.0000, 0.3476], [0.0000, 0.0000, 0.6524]]
}

[20]
{
  "formula": "Pu3Ag",
  "functional": "PBE",
  "state": "optimized geometry",
  "density_kg_m3": 16023,
  "ef_kj_per_mol_atoms": 20,
  "e_tot_ev_per_atom": -11.26,
  "magmom_total_mub_per_fu": 5.9,
  "e_above_lowest_polymorph_mev_per_atom": 0,
  "crystal_system": "orthorhombic",
  "lattice_angstrom": [[-1.8019, 2.5780, 4.6843], [1.8019, -2.5780, 4.6843], [1.8019, 2.5780, -4.6843]],
  "species": ["Pu", "Pu", "Pu", "Ag"],
  "fractional_positions": [[0.0000, 0.0000, 0.0000], [0.2248, 0.7248, 0.5000], [0.7752, 0.2752, 0.5000], [0.5000, 0.5000, 0.0000]]
}